# K3Pu3AuSe8

An optimized crystal structure of K3Pu3AuSe8 (PBE-GGA, Alexandria).

Cell and atoms, written as CIF:
```
data_K3Pu3AuSe8
_space_group_name_H-M_alt 'P 1'
_space_group_IT_number 1
_cell_length_a 8.1549
_cell_length_b 8.5350
_cell_length_c 9.1872
_cell_angle_alpha 118.83
_cell_angle_beta 90.00
_cell_angle_gamma 118.54
loop_
_space_group_symop_operation_xyz
'x,y,z'
loop_
_atom_site_label
_atom_site_fract_x
_atom_site_fract_y
_atom_site_fract_z
_atom_site_occupancy
K1 0.0000 0.0000 0.0000 1
K2 0.0000 0.5000 0.0000 1
K3 0.5000 0.5000 0.0000 1
Pu1 0.5000 0.0000 0.5000 1
Pu2 0.5000 0.5000 0.5000 1
Pu3 0.0000 0.5000 0.5000 1
Au1 0.0000 0.0000 0.5000 1
Se1 0.2658 0.5315 0.2919 1
Se2 0.7342 0.4685 0.7081 1
Se3 0.7075 0.4150 0.2609 1
Se4 0.2925 0.5850 0.7391 1
Se5 0.7938 0.0324 0.3167 1
Se6 0.2062 0.9676 0.6833 1
Se7 0.2386 0.0324 0.3167 1
Se8 0.7614 0.9676 0.6833 1
```

The raw formation energy comes out at -1.138 eV per atom. As for the space group: C2/m, No. 12. The calculation puts the spin magnetization at 4.35 μB per cell. As for the uncorrected energy: -94.51 eV/cell.